Density functional theory data (GGA-PBE) for an optimized crystal structure of Zn2Cu3Au8.

Cell: 12.2459 7.3424 5.0651 Å, 90.00 90.21 90.00°
With the nearest neighbours (Å) after each atom.
Space group C2/m (No. 12)
Asymmetric unit:
1 Zn 0.2078 0.0000 0.1990 x4  7 Au 2.53-2.81, 1 Cu 2.73
2 Cu 0.0000 0.0000 0.0000 x2  6 Au 2.65-2.67, 2 Zn 2.73, 4 Cu 2.85
3 Cu 0.0000 0.1787 0.5000 x4  3 Cu 2.62-2.85, 4 Au 2.68-2.74
4 Au 0.1130 0.5000 0.5162 x4  1 Zn 2.62, 2 Cu 2.74, 4 Au 2.77-2.86
5 Au 0.1167 0.3075 0.0250 x8  2 Zn 2.67-2.81, 2 Cu 2.67-2.96, 5 Au 2.83-2.94
6 Au 0.1739 0.0000 0.6912 x4  2 Zn 2.53-2.60, 3 Cu 2.65-2.68, 1 Au 2.82

The density of states at the Fermi level is 0.30 states/eV/atom. The calculation puts the formation energy at 0.00 eV per atom. For the energy above the most stable polymorph in this dataset, the calculation gives 34 meV/atom.